No. 1
Entry from the Alexandria database: crystalline CaPmPr4 at its relaxed geometry (PBE).

Lattice parameters (Å, degrees): 6.8764 6.8764 6.8764 60.00 60.00 60.00
Closest atoms and distances in Å follow each position.
Fractional positions:
Pm1 0.0000 0.0000 0.0000  12 Pr 4.03, 4 Ca 4.21
Pr1 0.6264 0.6264 0.1208  6 Pr 3.40-3.48
Pr2 0.6264 0.1208 0.6264  6 Pr 3.40-3.48
Ca1 0.2500 0.2500 0.2500  12 Pr 4.04, 4 Pm 4.21
Pr3 0.6264 0.6264 0.6264  6 Pr 3.40-3.48
Pr4 0.1208 0.6264 0.6264  6 Pr 3.40-3.48

polymorph energy (0 for the lowest one): 179 meV per atom


No. 2
Entry from the Alexandria database: crystalline Ca2Pm2Pr5 at its relaxed geometry (PBE).

Lattice parameters (Å, degrees): 3.6181 8.7017 13.1054 121.25 97.93 90.00
Closest atoms and distances in Å follow each position.
Fractional positions:
Pm1 0.5458 0.7330 0.0915  5 Pr 3.31-3.64, 3 Pm 3.46-3.62
Pr1 0.0000 0.0000 0.0000  4 Pr 3.44-3.62, 4 Pm 3.60
Pr2 0.0967 0.4609 0.1934  5 Pr 3.44-3.62, 4 Pm 3.64-3.73, 1 Ca 3.74
Pr3 0.3103 0.1470 0.6205  1 Pm 3.31, 6 Pr 3.35-3.62, 1 Ca 3.69
Pr4 0.9033 0.5391 0.8066  5 Pr 3.44-3.62, 4 Pm 3.64-3.73, 1 Ca 3.74
Ca1 0.1857 0.2347 0.3715  2 Ca 3.62, 4 Pr 3.69-3.83
Pm2 0.4542 0.2670 0.9085  5 Pr 3.31-3.64, 3 Pm 3.46-3.62
Ca2 0.8143 0.7653 0.6285  2 Ca 3.62, 4 Pr 3.69-3.83
Pr5 0.6897 0.8530 0.3795  1 Pm 3.31, 6 Pr 3.35-3.62, 1 Ca 3.69


No. 3
Entry from the Alexandria database: crystalline CaPmPr at its relaxed geometry (PBE).

Lattice parameters (Å, degrees): 4.9243 4.9243 9.2383 90.00 90.00 90.00
Closest atoms and distances in Å follow each position.
Fractional positions:
Ca1 0.5000 0.5000 0.0000  4 Ca 3.48, 4 Pm 3.79
Pm1 0.0000 0.5000 0.3124  5 Pr 3.31-3.49
Pm2 0.5000 0.0000 0.6876  5 Pr 3.31-3.49
Pr1 0.0000 0.5000 0.6709  5 Pm 3.31-3.49
Pr2 0.5000 0.0000 0.3291  5 Pm 3.31-3.49
Ca2 0.0000 0.0000 0.0000  4 Ca 3.48, 4 Pm 3.79

polymorph energy (0 for the lowest one): 279 meV per atom


No. 4
Entry from the Alexandria database: crystalline CaPmPr2 at its relaxed geometry (PBE).

Lattice parameters (Å, degrees): 3.7253 3.7253 12.2733 90.00 90.00 119.96
Closest atoms and distances in Å follow each position.
Fractional positions:
Pm1 0.1327 0.8673 0.5000  6 Pr 3.65, 6 Pm 3.73
Ca1 0.8011 0.1989 0.0000  6 Ca 3.73, 6 Pr 3.85
Pr1 0.4661 0.5339 0.7400  3 Pm 3.65, 6 Pr 3.73, 3 Ca 3.85
Pr2 0.4661 0.5339 0.2600  3 Pm 3.65, 6 Pr 3.73, 3 Ca 3.85

polymorph energy (0 for the lowest one): 0 meV per atom


No. 5
Entry from the Alexandria database: crystalline CaPm4Pr at its relaxed geometry (PBE).

Lattice parameters (Å, degrees): 3.5884 6.6542 9.8431 109.76 100.50 90.00
Closest atoms and distances in Å follow each position.
Fractional positions:
Pm1 0.2919 0.7080 0.4161  6 Pm 3.45-3.59, 4 Pr 3.78-3.79
Pm2 0.4553 0.1311 0.7451  6 Pm 3.21-3.59
Pr1 0.8007 0.2175 0.4349  2 Pr 3.59, 8 Pm 3.71-3.79, 2 Ca 3.78-3.79
Pm3 0.6293 0.5453 0.0906  6 Pm 3.46-3.59, 4 Ca 3.78-3.79
Ca1 0.1175 0.0341 0.0682  2 Ca 3.59, 8 Pm 3.78-3.85, 2 Pr 3.78-3.79
Pm4 0.4553 0.6141 0.7451  6 Pm 3.21-3.59

polymorph energy (0 for the lowest one): 136 meV per atom


No. 6
Entry from the Alexandria database: crystalline CaPmPr3 at its relaxed geometry (PBE).

Lattice parameters (Å, degrees): 5.7266 7.3466 14.3058 140.40 101.55 90.00
Closest atoms and distances in Å follow each position.
Fractional positions:
Pr1 0.0004 0.2419 0.0008  7 Pr 3.47-3.83, 1 Pm 3.48
Pm1 0.2005 0.3524 0.4010  2 Pm 3.34, 3 Pr 3.48-3.68
Pr2 0.7991 0.1457 0.5983  3 Pr 3.33-3.47, 2 Pm 3.67-3.68
Pr3 0.2009 0.8543 0.4017  3 Pr 3.33-3.47, 2 Pm 3.67-3.68
Pr4 0.9996 0.7581 0.9992  7 Pr 3.47-3.83, 1 Pm 3.48
Ca1 0.6077 0.8237 0.2154  9 Pr 3.66-3.91, 1 Ca 3.73, 3 Pm 3.76-3.79
Pm2 0.7995 0.6476 0.5990  2 Pm 3.34, 3 Pr 3.48-3.68
Pr5 0.3942 0.6839 0.7884  2 Ca 3.66-3.69, 8 Pr 3.66-3.83, 3 Pm 3.77-3.82
Ca2 0.3923 0.1763 0.7846  9 Pr 3.66-3.91, 1 Ca 3.73, 3 Pm 3.76-3.79
Pr6 0.6058 0.3161 0.2116  2 Ca 3.66-3.69, 8 Pr 3.66-3.83, 3 Pm 3.77-3.82

polymorph energy (0 for the lowest one): 0 meV per atom


Table of density (g cm⁻³), in record order: 5.407; 5.126; 4.833; 5.254; 5.823; 5.541
Table of ΔE_f (eV per atom), in record order: 0.2041; 0.1932; 0.3059; 0.0278; 0.1828; 0.0811